1.
# In2Ag7Hg2 | Alexandria via LeMat-Bulk | GGA-PBE | relaxed
# * total magnetic moment: 0.00 μB/cell
# * DFT formation energy: 0.0415 eV/atom
data_In2Ag7Hg2
_symmetry_space_group_name_H-M 'C 1 2/m 1'
_symmetry_Int_Tables_number 12
_symmetry_space_group_name_Hall '-C 2y'
_cell_length_a 9.714
_cell_length_b 9.961
_cell_length_c 5.184
_cell_angle_alpha 90.00
_cell_angle_beta 116.19
_cell_angle_gamma 90.00
loop_
_atom_site_label
_atom_site_type_symbol
_atom_site_fract_x
_atom_site_fract_y
_atom_site_fract_z
_atom_site_occupancy
In1 In 0.000 0.190 0.000 1
Ag1 Ag 0.000 0.000 0.500 1
Ag2 Ag 0.171 0.241 0.673 1
Ag3 Ag 0.249 0.000 0.060 1
Hg1 Hg 0.102 0.500 0.321 1

2.
# Rb2Th2CuTe6 | Alexandria via LeMat-Bulk | GGA-PBE | relaxed
# * total magnetic moment: 0.01 μB/cell
# * formation energy from raw total energies: -894.0 meV per atom
data_Rb2Th2CuTe6
_symmetry_space_group_name_H-M 'C 1 2/m 1'
_symmetry_Int_Tables_number 12
_symmetry_space_group_name_Hall '-C 2y'
_cell_length_a 7.618
_cell_length_b 13.618
_cell_length_c 9.197
_cell_angle_alpha 90.00
_cell_angle_beta 106.55
_cell_angle_gamma 90.00
loop_
_atom_site_label
_atom_site_type_symbol
_atom_site_fract_x
_atom_site_fract_y
_atom_site_fract_z
_atom_site_occupancy
Rb1 Rb 0.000 0.163 0.000 1
Th1 Th 0.000 0.332 0.500 1
Cu1 Cu 0.000 0.000 0.500 1
Te1 Te 0.226 0.000 0.328 1
Te2 Te 0.237 0.166 0.702 1

3.
# MgCrCu | Alexandria via LeMat-Bulk | GGA-PBE | relaxed
# * total magnetic moment: 0.00 μB/cell
# * DFT formation energy: 0.3655 eV/atom
data_MgCrCu
_symmetry_space_group_name_H-M 'I 4 m m'
_symmetry_Int_Tables_number 107
_symmetry_space_group_name_Hall 'I 4 -2'
_cell_length_a 2.607
_cell_length_b 2.607
_cell_length_c 12.221
_cell_angle_alpha 90.00
_cell_angle_beta 90.00
_cell_angle_gamma 90.00
loop_
_atom_site_label
_atom_site_type_symbol
_atom_site_fract_x
_atom_site_fract_y
_atom_site_fract_z
_atom_site_occupancy
Mg1 Mg 0.000 0.000 0.000 1
Cr1 Cr 0.000 0.000 0.678 1
Cu1 Cu 0.000 0.000 0.328 1

4.
# Tm6MgRu2 | Alexandria via LeMat-Bulk | GGA-PBE | relaxed
# * total magnetic moment: 0.00 μB/cell
# * DFT formation energy: -0.3002 eV/atom
data_Tm6MgRu2
_symmetry_space_group_name_H-M 'I m m m'
_symmetry_Int_Tables_number 71
_symmetry_space_group_name_Hall '-I 2 2'
_cell_length_a 9.231
_cell_length_b 9.398
_cell_length_c 10.442
_cell_angle_alpha 90.00
_cell_angle_beta 90.00
_cell_angle_gamma 90.00
loop_
_atom_site_label
_atom_site_type_symbol
_atom_site_fract_x
_atom_site_fract_y
_atom_site_fract_z
_atom_site_occupancy
Tm1 Tm 0.000 0.206 0.241 1
Tm2 Tm 0.186 0.500 0.171 1
Tm3 Tm 0.213 0.317 0.500 1
Mg1 Mg 0.000 0.000 0.000 1
Mg2 Mg 0.000 0.000 0.500 1
Ru1 Ru 0.000 0.317 0.000 1
Ru2 Ru 0.000 0.500 0.371 1

5.
# SmY3Er7 | Alexandria via LeMat-Bulk | GGA-PBE | relaxed
# * total magnetic moment: 0.00 μB/cell
# * DFT formation energy: 0.1615 eV/atom
data_SmY3Er7
_symmetry_space_group_name_H-M 'P 1 2/m 1'
_symmetry_Int_Tables_number 10
_symmetry_space_group_name_Hall '-P 2y'
_cell_length_a 6.949
_cell_length_b 5.506
_cell_length_c 9.881
_cell_angle_alpha 90.00
_cell_angle_beta 110.40
_cell_angle_gamma 90.00
loop_
_atom_site_label
_atom_site_type_symbol
_atom_site_fract_x
_atom_site_fract_y
_atom_site_fract_z
_atom_site_occupancy
Sm1 Sm 0.000 0.000 0.000 1
Y1 Y 0.278 0.500 0.499 1
Y2 Y 0.500 0.000 0.000 1
Er1 Er 0.000 0.000 0.500 1
Er2 Er 0.146 0.500 0.792 1
Er3 Er 0.323 0.500 0.142 1
Er4 Er 0.418 0.000 0.331 1

6.
# LiNdErLu | Alexandria via LeMat-Bulk | GGA-PBE | relaxed
# * total magnetic moment: 0.00 μB/cell
# * DFT formation energy: 0.1554 eV/atom
data_LiNdErLu
_symmetry_space_group_name_H-M 'F -4 3 m'
_symmetry_Int_Tables_number 216
_symmetry_space_group_name_Hall 'F -4 2 3'
_cell_length_a 7.742
_cell_length_b 7.742
_cell_length_c 7.742
_cell_angle_alpha 90.00
_cell_angle_beta 90.00
_cell_angle_gamma 90.00
loop_
_atom_site_label
_atom_site_type_symbol
_atom_site_fract_x
_atom_site_fract_y
_atom_site_fract_z
_atom_site_occupancy
Li1 Li 0.000 0.000 0.000 1
Nd1 Nd 0.250 0.250 0.750 1
Er1 Er 0.250 0.250 0.250 1
Lu1 Lu 0.000 0.000 0.500 1

7.
# YTlP2 | Alexandria via LeMat-Bulk | GGA-PBE | relaxed
# * total magnetic moment: 0.00 μB/cell
# * DFT formation energy: -0.4084 eV/atom
data_YTlP2
_symmetry_space_group_name_H-M 'R -3 m'
_symmetry_Int_Tables_number 166
_symmetry_space_group_name_Hall '-R 3 2"'
_cell_length_a 4.0723
_cell_length_b 4.0723
_cell_length_c 19.7691
_cell_angle_alpha 90.00
_cell_angle_beta 90.00
_cell_angle_gamma 120.00
loop_
_atom_site_label
_atom_site_type_symbol
_atom_site_fract_x
_atom_site_fract_y
_atom_site_fract_z
_atom_site_occupancy
Y1 Y 0.0000 0.0000 0.0000 1
Tl1 Tl 0.0000 0.0000 0.5000 1
P1 P 0.0000 0.0000 0.2530 1

8.
# Dy3TlGa2 | Alexandria via LeMat-Bulk | GGA-PBE | relaxed
# * total magnetic moment: 0.00 μB/cell
# * DFT formation energy: -0.5006 eV/atom
data_Dy3TlGa2
_symmetry_space_group_name_H-M 'P 4/m m m'
_symmetry_Int_Tables_number 123
_symmetry_space_group_name_Hall '-P 4 2'
_cell_length_a 3.611
_cell_length_b 3.611
_cell_length_c 11.190
_cell_angle_alpha 90.00
_cell_angle_beta 90.00
_cell_angle_gamma 90.00
loop_
_atom_site_label
_atom_site_type_symbol
_atom_site_fract_x
_atom_site_fract_y
_atom_site_fract_z
_atom_site_occupancy
Dy1 Dy 0.000 0.000 0.000 1
Dy2 Dy 0.000 0.000 0.316 1
Tl1 Tl 0.500 0.500 0.500 1
Ga1 Ga 0.500 0.500 0.159 1

9.
# Cr2CoBr | Alexandria via LeMat-Bulk | GGA-PBE | relaxed
# * total magnetic moment: 2.24 μB/cell
# * formation energy from raw total energies: 611.4 meV per atom
data_Cr2CoBr
_symmetry_space_group_name_H-M 'R 3 m'
_symmetry_Int_Tables_number 160
_symmetry_space_group_name_Hall 'R 3 -2"'
_cell_length_a 2.9939
_cell_length_b 2.9939
_cell_length_c 22.7640
_cell_angle_alpha 90.00
_cell_angle_beta 90.00
_cell_angle_gamma 120.00
loop_
_atom_site_label
_atom_site_type_symbol
_atom_site_fract_x
_atom_site_fract_y
_atom_site_fract_z
_atom_site_occupancy
Cr1 Cr 0.0000 0.0000 0.0000 1
Cr2 Cr 0.0000 0.0000 0.2603 1
Co1 Co 0.0000 0.0000 0.5159 1
Br1 Br 0.0000 0.0000 0.7561 1

10.
# Nb2PdWN | Alexandria via LeMat-Bulk | GGA-PBE | relaxed
# * total magnetic moment: 0.00 μB/cell
# * formation energy from raw total energies: -366.8 meV per atom
data_Nb2PdWN
_symmetry_space_group_name_H-M 'P 4/m m m'
_symmetry_Int_Tables_number 123
_symmetry_space_group_name_Hall '-P 4 2'
_cell_length_a 4.274
_cell_length_b 4.274
_cell_length_c 4.081
_cell_angle_alpha 90.00
_cell_angle_beta 90.00
_cell_angle_gamma 90.00
loop_
_atom_site_label
_atom_site_type_symbol
_atom_site_fract_x
_atom_site_fract_y
_atom_site_fract_z
_atom_site_occupancy
Nb1 Nb 0.000 0.500 0.000 1
Pd1 Pd 0.000 0.000 0.500 1
W1 W 0.500 0.500 0.500 1
N1 N 0.500 0.500 0.000 1

11.
# Li2YRe | Alexandria via LeMat-Bulk | GGA-PBE | relaxed
# * total magnetic moment: 0.00 μB/cell
# * DFT formation energy: 0.5914 eV/atom
data_Li2YRe
_symmetry_space_group_name_H-M 'C m m m'
_symmetry_Int_Tables_number 65
_symmetry_space_group_name_Hall '-C 2 2'
_cell_length_a 3.039
_cell_length_b 4.648
_cell_length_c 10.488
_cell_angle_alpha 90.00
_cell_angle_beta 90.00
_cell_angle_gamma 90.00
loop_
_atom_site_label
_atom_site_type_symbol
_atom_site_fract_x
_atom_site_fract_y
_atom_site_fract_z
_atom_site_occupancy
Li1 Li 0.000 0.000 0.218 1
Y1 Y 0.000 0.500 0.500 1
Re1 Re 0.000 0.500 0.000 1

12.
# Hg4TeAsBr | Alexandria via LeMat-Bulk | GGA-PBE | relaxed
# * total magnetic moment: 0.00 μB/cell
# * formation energy from raw total energies: -109.2 meV per atom
data_Hg4TeAsBr
_symmetry_space_group_name_H-M 'P 1 21/m 1'
_symmetry_Int_Tables_number 11
_symmetry_space_group_name_Hall '-P 2yb'
_cell_length_a 7.794
_cell_length_b 7.199
_cell_length_c 8.125
_cell_angle_alpha 90.00
_cell_angle_beta 105.75
_cell_angle_gamma 90.00
loop_
_atom_site_label
_atom_site_type_symbol
_atom_site_fract_x
_atom_site_fract_y
_atom_site_fract_z
_atom_site_occupancy
Hg1 Hg 0.015 0.062 0.254 1
Hg2 Hg 0.378 0.250 0.068 1
Hg3 Hg 0.386 0.250 0.585 1
Te1 Te 0.385 0.750 0.618 1
As1 As 0.160 0.250 0.766 1
Br1 Br 0.269 0.750 0.105 1